First-principles (PBE-GGA) data for an optimized crystal structure of Re2AsIr, as listed in Alexandria.

Cell and atoms, written as CIF:
```
data_Re2AsIr
_chemical_formula_sum 'Re2 As1 Ir1'
_cell_length_a 8.7417
_cell_length_b 8.7417
_cell_length_c 8.7417
_cell_angle_alpha 18.70
_cell_angle_beta 18.70
_cell_angle_gamma 18.70
_space_group_name_H-M_alt 'P 1'
_space_group_IT_number 1
_space_group_name_Hall 'P 1'
loop_
_atom_site_label
_atom_site_type_symbol
_atom_site_fract_x
_atom_site_fract_y
_atom_site_fract_z
Re1 Re 0.0000 0.0000 0.0000
Re2 Re 0.2495 0.2495 0.2495
As1 As 0.7489 0.7489 0.7489
Ir1 Ir 0.4979 0.4979 0.4979
```

Calculated values
**Energy of formation**: 124 meV per atom
**D(E_F)**: 3.97 states/eV/cell
**Volume**: 60.00 Å³ per cell